NaDyPbBr6 | GGA-PBE | relaxed

Unit cell a=7.392 b=7.392 c=13.118 alpha=90.00 beta=90.00 gamma=120.00
Fractional coordinates of all 18 atoms:
1 Br 0.643 0.660 0.628
2 Na 0.667 0.333 0.750
3 Br 0.340 0.357 0.872
4 Br 0.660 0.017 0.372
5 Br 0.017 0.357 0.628
6 Br 0.643 0.983 0.872
7 Pb 0.000 0.000 0.500
8 Br 0.660 0.643 0.128
9 Dy 0.333 0.667 0.750
10 Br 0.983 0.340 0.128
11 Br 0.017 0.660 0.872
12 Br 0.357 0.017 0.128
13 Br 0.983 0.643 0.372
14 Br 0.357 0.340 0.372
15 Br 0.340 0.983 0.628
16 Na 0.333 0.667 0.250
17 Pb 0.000 0.000 0.000
18 Dy 0.667 0.333 0.250

Summary:
E_form (uncorrected) in eV/f.u.: -13.237
Symmetry: No. 163